Entry 1:
Below is KMg2SbRh after structural relaxation, with properties calculated at the PBE level.

POSCAR file:
```
KMg2SbRh
1.0
-4.8695 -1.1249 -0.6383
1.3540 -5.1780 -1.2041
-0.3556 -1.2264 4.8739
Sb K Rh Mg
1 1 1 2
Cartesian
-1.9356 -3.7646 1.5157
0.6770 -2.5890 -0.6021
0.0000 0.0000 0.0000
-0.1778 -0.6132 2.4369
-2.4348 -0.5624 -0.3191
```

The total energy comes out at -2.87 eV per atom.



Entry 2:
Below is ErZnPdPt after structural relaxation, with properties calculated at the PBE level.

POSCAR file:
```
ErZnPdPt
1.0
-0.7852 -0.3404 4.5721
1.7854 -3.5568 2.4080
3.4634 0.7387 3.0159
Zn Pd Pt Er
1 1 1 1
Cartesian
2.2318 -1.5792 4.9980
1.1159 -0.7896 2.4990
3.3477 -2.3688 7.4970
0.0000 0.0000 0.0000
```

The value obtained for the energy relative to the elements is -0.861 eV/atom.



Entry 3:
Below is NaPrCdSn after structural relaxation, with properties calculated at the PBE level.

POSCAR file:
```
NaPrCdSn
1.0
5.3883 0.0000 0.0000
2.6942 4.6664 0.0000
2.6942 1.5555 4.3996
Pr Na Sn Cd
1 1 1 1
Cartesian
5.3883 3.1110 2.1998
0.0000 0.0000 0.0000
2.6942 1.5555 1.0999
8.0825 4.6664 3.2997
```

The value obtained for the energy relative to the elements is -0.379 eV/atom.



Entry 4:
Below is PuSbS3 after structural relaxation, with properties calculated at the PBE level.

POSCAR file:
```
PuSbS3
1.0
4.0923 0.0000 0.0000
0.0000 6.8310 -1.7556
0.0000 -5.9403 12.5944
Pu Sb S
2 2 6
Cartesian
1.0231 -1.2738 6.7461
3.0692 2.1645 4.0927
1.0231 -0.6327 1.8774
3.0692 1.5233 8.9614
3.0692 -2.7193 7.7100
3.0692 0.6990 6.6316
1.0231 3.6099 3.1288
1.0231 0.1917 4.2072
1.0231 0.0642 9.4680
3.0692 0.8265 1.3708
```

The total energy comes out at -7.05 eV per atom.